No. 1
VASP calculation (PBE-GGA) on a relaxed structure of La2Y15Tm2.

a b c (Å): 8.8120 8.8120 8.8120
angles (deg): 80.67 80.67 80.67
Closest atoms and distances in Å follow each position.
Fractional coordinates of all 19 atoms:
Y (0.6357, 0.6357, 0.1484)  6 Y 3.34-3.39
Y (0.1484, 0.6357, 0.6357)  6 Y 3.34-3.39
Y (0.0000, 0.2960, 0.7040)  6 Y 3.38-3.40, 2 Tm 3.78
Y (0.2960, 0.0000, 0.7040)  6 Y 3.38-3.40, 2 Tm 3.78
Y (0.3643, 0.8516, 0.3643)  6 Y 3.34-3.39
Y (0.2960, 0.7040, 0.0000)  6 Y 3.38-3.40, 2 Tm 3.78
Y (0.7040, 0.0000, 0.2960)  6 Y 3.38-3.40, 2 Tm 3.78
Y (0.0000, 0.7040, 0.2960)  6 Y 3.38-3.40, 2 Tm 3.78
Y (0.6357, 0.1484, 0.6357)  6 Y 3.34-3.39
Y (0.5000, 0.0000, 0.0000)  8 Y 3.37-3.40, 2 Tm 3.51
Y (0.3643, 0.3643, 0.8516)  6 Y 3.34-3.39
Y (0.0000, 0.0000, 0.5000)  8 Y 3.37-3.40, 2 Tm 3.51
Y (0.0000, 0.5000, 0.0000)  8 Y 3.37-3.40, 2 Tm 3.51
Y (0.7040, 0.2960, 0.0000)  6 Y 3.38-3.40, 2 Tm 3.78
Y (0.8516, 0.3643, 0.3643)  6 Y 3.34-3.39
Tm (0.0967, 0.0967, 0.0967)  1 Tm 3.40, 12 Y 3.51-3.78
Tm (0.9033, 0.9033, 0.9033)  1 Tm 3.40, 12 Y 3.51-3.78
La (0.6718, 0.6718, 0.6718)  15 Y 4.03-4.35, 1 Tm 4.07
La (0.3282, 0.3282, 0.3282)  15 Y 4.03-4.35, 1 Tm 4.07

calculated total energy	-5.82	eV per atom
D(E_F)	43.3	states/eV/f.u.

***

No. 2
VASP calculation (PBE-GGA) on a relaxed structure of NaSrIr3.

a b c (Å): 5.1033 5.1033 5.1033
angles (deg): 90.00 90.00 90.00
Closest atoms and distances in Å follow each position.
Fractional coordinates of all 5 atoms:
Sr (0.0000, 0.0000, 0.0000)  6 Ir 2.55
Na (0.5000, 0.5000, 0.5000)  12 Ir 3.61
Ir (0.0000, 0.0000, 0.5000)  2 Sr 2.55
Ir (0.5000, 0.0000, 0.0000)  2 Sr 2.55
Ir (0.0000, 0.5000, 0.0000)  2 Sr 2.55

energy above the most stable polymorph in this dataset	758	meV per atom
calculated total energy	-3.59	eV per atom
D(E_F)	8.6	states/eV/f.u.

***

No. 3
VASP calculation (PBE-GGA) on a relaxed structure of Pu2SiB2Ru5.

a b c (Å): 3.0533 9.5594 9.5594
angles (deg): 90.00 90.00 90.00
Closest atoms and distances in Å follow each position.
Fractional coordinates of all 20 atoms:
Si (0.0000, 0.5000, 0.5000)  8 Ru 2.62
Si (0.0000, 0.0000, 0.0000)  8 Ru 2.62
Ru (0.5000, 0.7879, 0.9321)  2 B 2.25
Ru (0.5000, 0.0679, 0.7879)  2 B 2.25
Ru (0.5000, 0.5679, 0.7121)  2 B 2.25
Ru (0.5000, 0.5000, 0.0000)  4 B 2.26
Ru (0.5000, 0.7121, 0.4321)  2 B 2.25
Ru (0.5000, 0.9321, 0.2121)  2 B 2.25
Ru (0.5000, 0.0000, 0.5000)  4 B 2.26
Ru (0.5000, 0.2879, 0.5679)  2 B 2.25
Ru (0.5000, 0.4321, 0.2879)  2 B 2.25
Ru (0.5000, 0.2121, 0.0679)  2 B 2.25
Pu (0.0000, 0.6763, 0.1763)  3 B 2.70-2.91, 10 Ru 2.83-2.99
Pu (0.0000, 0.1763, 0.3237)  3 B 2.70-2.91, 10 Ru 2.83-2.99
Pu (0.0000, 0.3237, 0.8237)  3 B 2.70-2.91, 10 Ru 2.83-2.99
Pu (0.0000, 0.8237, 0.6763)  3 B 2.70-2.91, 10 Ru 2.83-2.99
B (0.0000, 0.1237, 0.6237)  6 Ru 2.25-2.26
B (0.0000, 0.6237, 0.8763)  6 Ru 2.25-2.26
B (0.0000, 0.8763, 0.3763)  6 Ru 2.25-2.26
B (0.0000, 0.3763, 0.1237)  6 Ru 2.25-2.26

calculated total energy	-9.82	eV per atom
D(E_F)	17.6	states/eV/f.u.

***

- Look up the calculated total energy of the third one.
  -9.82 eV per atom